# 1
The following is a DFT calculation (PBE-GGA) of Pm6ZnCo2I3 after structural relaxation.

The structure in CIF format:
```
data_Pm6ZnCo2I3
_cell_length_a 7.167
_cell_length_b 12.406
_cell_length_c 8.386
_cell_angle_alpha 90.00
_cell_angle_beta 106.54
_cell_angle_gamma 90.00
_space_group_name_H-M_alt 'C 1 2/m 1'
_space_group_IT_number 12
loop_
_space_group_symop_operation_xyz
'x,y,z'
'-x,-y,-z'
'-x,y,-z'
'x,-y,z'
'x+1/2,y+1/2,z'
'-x+1/2,-y+1/2,-z'
'-x+1/2,y+1/2,-z'
'x+1/2,-y+1/2,z'
loop_
_atom_site_label
_atom_site_type_symbol
_atom_site_fract_x
_atom_site_fract_y
_atom_site_fract_z
Pm1 Pm 0.201 0.000 0.186
Pm2 Pm 0.243 0.320 0.187
Zn1 Zn 0.000 0.500 0.000
Co1 Co 0.000 0.167 0.000
I1 I 0.000 0.000 0.500
I2 I 0.000 0.337 0.500
```

# 2
The following is a DFT calculation (PBE-GGA) of Pr7CoI12 after structural relaxation.

The structure in CIF format:
```
data_Pr7CoI12
_cell_length_a 16.1506
_cell_length_b 16.1506
_cell_length_c 11.2739
_cell_angle_alpha 90.00
_cell_angle_beta 90.00
_cell_angle_gamma 120.00
_space_group_name_H-M_alt 'R -3'
_space_group_IT_number 148
_space_group_name_Hall '-R 3'
loop_
_atom_site_label
_atom_site_type_symbol
_atom_site_fract_x
_atom_site_fract_y
_atom_site_fract_z
Pr1 Pr 0.0000 0.0000 0.0000
Pr2 Pr 0.0419 0.8842 0.3606
Co1 Co 0.0000 0.0000 0.5000
I1 I 0.0197 0.4334 0.1592
I2 I 0.0485 0.8701 0.8366
```

# 3
The following is a DFT calculation (PBE-GGA) of PrCoI after structural relaxation.

The structure in CIF format:
```
data_PrCoI
_cell_length_a 7.078
_cell_length_b 4.086
_cell_length_c 12.862
_cell_angle_alpha 90.00
_cell_angle_beta 100.91
_cell_angle_gamma 90.00
_space_group_name_H-M_alt 'C 1 m 1'
_space_group_IT_number 8
loop_
_space_group_symop_operation_xyz
'x,y,z'
'x,-y,z'
'x+1/2,y+1/2,z'
'x+1/2,-y+1/2,z'
loop_
_atom_site_label
_atom_site_type_symbol
_atom_site_fract_x
_atom_site_fract_y
_atom_site_fract_z
Pr1 Pr 0.000 0.000 0.000
Pr2 Pr 0.105 0.000 0.306
Co1 Co 0.219 0.500 0.153
Co2 Co 0.386 0.000 0.153
I1 I 0.105 0.500 0.821
I2 I 0.333 0.500 0.485
```

# 4
The following is a DFT calculation (PBE-GGA) of Pr3Co3I after structural relaxation.

The structure in CIF format:
```
data_Pr3Co3I
_cell_length_a 10.0127
_cell_length_b 10.0127
_cell_length_c 3.9940
_cell_angle_alpha 90.00
_cell_angle_beta 90.00
_cell_angle_gamma 120.00
_space_group_name_H-M_alt 'P 63/m'
_space_group_IT_number 176
_space_group_name_Hall '-P 6c'
loop_
_atom_site_label
_atom_site_type_symbol
_atom_site_fract_x
_atom_site_fract_y
_atom_site_fract_z
Pr1 Pr 0.0634 0.3659 0.2500
Co1 Co 0.0183 0.1502 0.7500
I1 I 0.3333 0.6667 0.7500
```

# 5
The following is a DFT calculation (PBE-GGA) of Pr3CoI2 after structural relaxation.

The structure in CIF format:
```
data_Pr3CoI2
_cell_length_a 3.971
_cell_length_b 6.272
_cell_length_c 15.212
_cell_angle_alpha 90.00
_cell_angle_beta 90.00
_cell_angle_gamma 90.00
_space_group_name_H-M_alt 'I m m m'
_space_group_IT_number 71
_space_group_name_Hall '-I 2 2'
loop_
_atom_site_label
_atom_site_type_symbol
_atom_site_fract_x
_atom_site_fract_y
_atom_site_fract_z
Pr1 Pr 0.000 0.000 0.000
Pr2 Pr 0.000 0.000 0.382
Co1 Co 0.000 0.500 0.000
I1 I 0.000 0.500 0.318
```

# 6
The following is a DFT calculation (PBE-GGA) of Pr6Co2PtI3 after structural relaxation.

The structure in CIF format:
```
data_Pr6Co2PtI3
_cell_length_a 7.225
_cell_length_b 12.513
_cell_length_c 8.506
_cell_angle_alpha 90.00
_cell_angle_beta 106.43
_cell_angle_gamma 90.00
_space_group_name_H-M_alt 'C 1 2/m 1'
_space_group_IT_number 12
loop_
_space_group_symop_operation_xyz
'x,y,z'
'-x,-y,-z'
'-x,y,-z'
'x,-y,z'
'x+1/2,y+1/2,z'
'-x+1/2,-y+1/2,-z'
'-x+1/2,y+1/2,-z'
'x+1/2,-y+1/2,z'
loop_
_atom_site_label
_atom_site_type_symbol
_atom_site_fract_x
_atom_site_fract_y
_atom_site_fract_z
Pr1 Pr 0.212 0.000 0.183
Pr2 Pr 0.236 0.326 0.184
Co1 Co 0.000 0.167 0.000
Pt1 Pt 0.000 0.500 0.000
I1 I 0.000 0.000 0.500
I2 I 0.000 0.334 0.500
```

# 7
The following is a DFT calculation (PBE-GGA) of Pr4CoPtI2 after structural relaxation.

The structure in CIF format:
```
data_Pr4CoPtI2
_cell_length_a 7.330
_cell_length_b 4.200
_cell_length_c 8.500
_cell_angle_alpha 90.00
_cell_angle_beta 106.59
_cell_angle_gamma 90.00
_space_group_name_H-M_alt 'P 1 2/m 1'
_space_group_IT_number 10
loop_
_space_group_symop_operation_xyz
'x,y,z'
'-x,-y,-z'
'-x,y,-z'
'x,-y,z'
loop_
_atom_site_label
_atom_site_type_symbol
_atom_site_fract_x
_atom_site_fract_y
_atom_site_fract_z
Pr1 Pr 0.216 0.000 0.183
Pr2 Pr 0.256 0.500 0.816
Co1 Co 0.000 0.500 0.000
Pt1 Pt 0.500 0.000 0.000
I1 I 0.000 0.000 0.500
I2 I 0.500 0.500 0.500
```

# 8
The following is a DFT calculation (PBE-GGA) of Pr6CoPt2I3 after structural relaxation.

The structure in CIF format:
```
data_Pr6CoPt2I3
_cell_length_a 7.354
_cell_length_b 12.746
_cell_length_c 8.498
_cell_angle_alpha 90.00
_cell_angle_beta 106.75
_cell_angle_gamma 90.00
_space_group_name_H-M_alt 'C 1 2/m 1'
_space_group_IT_number 12
loop_
_space_group_symop_operation_xyz
'x,y,z'
'-x,-y,-z'
'-x,y,-z'
'x,-y,z'
'x+1/2,y+1/2,z'
'-x+1/2,-y+1/2,-z'
'-x+1/2,y+1/2,-z'
'x+1/2,-y+1/2,z'
loop_
_atom_site_label
_atom_site_type_symbol
_atom_site_fract_x
_atom_site_fract_y
_atom_site_fract_z
Pr1 Pr 0.220 0.159 0.185
Pr2 Pr 0.245 0.500 0.185
Co1 Co 0.000 0.000 0.000
Pt1 Pt 0.000 0.333 0.000
I1 I 0.000 0.166 0.500
I2 I 0.000 0.500 0.500
```

# 9
The following is a DFT calculation (PBE-GGA) of Pr6CoRh2I3 after structural relaxation.

The structure in CIF format:
```
data_Pr6CoRh2I3
_cell_length_a 7.230
_cell_length_b 12.524
_cell_length_c 8.543
_cell_angle_alpha 90.00
_cell_angle_beta 106.37
_cell_angle_gamma 90.00
_space_group_name_H-M_alt 'C 1 2/m 1'
_space_group_IT_number 12
loop_
_space_group_symop_operation_xyz
'x,y,z'
'-x,-y,-z'
'-x,y,-z'
'x,-y,z'
'x+1/2,y+1/2,z'
'-x+1/2,-y+1/2,-z'
'-x+1/2,y+1/2,-z'
'x+1/2,-y+1/2,z'
loop_
_atom_site_label
_atom_site_type_symbol
_atom_site_fract_x
_atom_site_fract_y
_atom_site_fract_z
Pr1 Pr 0.223 0.162 0.184
Pr2 Pr 0.238 0.500 0.185
Co1 Co 0.000 0.000 0.000
Rh1 Rh 0.000 0.333 0.000
I1 I 0.000 0.167 0.500
I2 I 0.000 0.500 0.500
```

# 10
The following is a DFT calculation (PBE-GGA) of Pr8Co3RhI4 after structural relaxation.

The structure in CIF format:
```
data_Pr8Co3RhI4
_cell_length_a 14.281
_cell_length_b 8.245
_cell_length_c 9.478
_cell_angle_alpha 90.00
_cell_angle_beta 120.14
_cell_angle_gamma 90.00
_space_group_name_H-M_alt 'C 1 2/m 1'
_space_group_IT_number 12
loop_
_space_group_symop_operation_xyz
'x,y,z'
'-x,-y,-z'
'-x,y,-z'
'x,-y,z'
'x+1/2,y+1/2,z'
'-x+1/2,-y+1/2,-z'
'-x+1/2,y+1/2,-z'
'x+1/2,-y+1/2,z'
loop_
_atom_site_label
_atom_site_type_symbol
_atom_site_fract_x
_atom_site_fract_y
_atom_site_fract_z
Pr1 Pr 0.023 0.244 0.316
Pr2 Pr 0.228 0.000 0.682
Pr3 Pr 0.232 0.500 0.683
Co1 Co 0.000 0.000 0.500
Co2 Co 0.250 0.250 0.500
Rh1 Rh 0.000 0.500 0.500
I1 I 0.000 0.000 0.000
I2 I 0.000 0.500 0.000
I3 I 0.250 0.250 0.000
```

# 11
The following is a DFT calculation (PBE-GGA) of Pr8CoRu3I4 after structural relaxation.

The structure in CIF format:
```
data_Pr8CoRu3I4
_cell_length_a 8.3171
_cell_length_b 8.3171
_cell_length_c 24.7204
_cell_angle_alpha 90.00
_cell_angle_beta 90.00
_cell_angle_gamma 120.00
_space_group_name_H-M_alt 'R -3 m'
_space_group_IT_number 166
_space_group_name_Hall '-R 3 2"'
loop_
_atom_site_label
_atom_site_type_symbol
_atom_site_fract_x
_atom_site_fract_y
_atom_site_fract_z
Pr1 Pr 0.0000 0.0000 0.2291
Pr2 Pr 0.0017 0.5008 0.2284
Co1 Co 0.0000 0.0000 0.5000
Ru1 Ru 0.0000 0.5000 0.5000
I1 I 0.0000 0.0000 0.0000
I2 I 0.0000 0.5000 0.0000
```

# 12
The following is a DFT calculation (PBE-GGA) of Pr8CoS3I4 after structural relaxation.

The structure in CIF format:
```
data_Pr8CoS3I4
_cell_length_a 8.4004
_cell_length_b 8.4004
_cell_length_c 23.4431
_cell_angle_alpha 90.00
_cell_angle_beta 90.00
_cell_angle_gamma 120.00
_space_group_name_H-M_alt 'R -3 m'
_space_group_IT_number 166
_space_group_name_Hall '-R 3 2"'
loop_
_atom_site_label
_atom_site_type_symbol
_atom_site_fract_x
_atom_site_fract_y
_atom_site_fract_z
Pr1 Pr 0.0000 0.0000 0.2299
Pr2 Pr 0.0149 0.5074 0.2293
Co1 Co 0.0000 0.0000 0.5000
S1 S 0.0000 0.5000 0.5000
I1 I 0.0000 0.0000 0.0000
I2 I 0.0000 0.5000 0.0000
```

Fermi-level density of states: 7.933; 13.522; 2.151; 9.212; 4.293; 6.085; 4.684; 8.115; 2.955; 3.596; 8.164; 12.970 (states/eV/f.u.)
Formation energy (no corrections): -577; -1229; -724; -287; -683; -758; -845; -942; -815; -674; -598; -1254 (meV per atom)